Crystalline AlH6ClO4 at its relaxed geometry, computed with PBEsol.

## Properties
DFT total energy: -5.351 eV/atom
Total moment: 0.00 μB per formula unit

Unit cell a=7.8829 b=7.8829 c=5.1399 alpha=108.15 beta=108.15 gamma=113.54
Last column: nearest neighbours and their distance in Å.
Element x y z (fractional)
Al1 0.0509 0.9491 0.7500  6 O 1.85-1.96
Al2 0.9491 0.0509 0.2500  6 O 1.85-1.96
H1 0.1189 0.4203 0.2856  1 O 0.99
H2 0.1316 0.6961 0.9035  1 O 1.00
H3 0.1765 0.3313 0.8479  1 O 0.98
H4 0.3039 0.8684 0.5965  1 O 1.00
H5 0.3313 0.1765 0.3479  1 O 0.98
H6 0.4203 0.1189 0.7856  1 O 0.99
H7 0.5797 0.8811 0.2144  1 O 0.99
H8 0.6687 0.8235 0.6521  1 O 0.98
H9 0.6961 0.1316 0.4035  1 O 1.00
H10 0.8235 0.6687 0.1521  1 O 0.98
H11 0.8684 0.3039 0.0965  1 O 1.00
H12 0.8811 0.5797 0.7144  1 O 0.99
Cl1 0.3342 0.6658 0.2500  6 H 2.11-2.27
Cl2 0.6658 0.3342 0.7500  6 H 2.11-2.27
O1 0.0150 0.6856 0.7362  2 H 0.99-1.00
O2 0.1046 0.1825 0.6861  1 H 0.98
O3 0.1825 0.1046 0.1861  1 H 0.98
O4 0.3144 0.9850 0.7638  2 H 0.99-1.00
O5 0.6856 0.0150 0.2362  2 H 0.99-1.00
O6 0.8175 0.8954 0.8139  1 H 0.98
O7 0.8954 0.8175 0.3139  1 H 0.98
O8 0.9850 0.3144 0.2638  2 H 0.99-1.00